Material: SrRe2As
Method: DFT, PBE
State: optimized geometry

The structure belongs to space group Cmmm (No. 65); the cell edges are 3.268, 5.038 and 9.039 Å and the angles 90.00°, 90.00° and 90.00°. Symmetry generates all atoms from Sr at (0.000, 0.000, 0.000), Re at (0.000, 0.500, 0.294) and As at (0.000, 0.000, 0.500).

The formation energy is 974 meV/atom. For the density of states at the Fermi level, the calculation gives 1.009 states/eV/atom. The magnetization comes out at 0.00 μB per formula unit. The value obtained for the total energy is -54.67 eV/cell.

Material: YZn2GaAu2
Method: DFT, PBE
State: optimized geometry

The structure belongs to space group P-3m1 (No. 164); the cell edges are 4.6124, 4.6124 and 6.1789 Å and the angles 90.00°, 90.00° and 120.00°. Symmetry generates all atoms from Y at (0.0000, 0.0000, 0.0000), Zn at (0.3333, 0.6667, 0.7239), Ga at (0.0000, 0.0000, 0.5000) and Au at (0.3333, 0.6667, 0.2550).

The formation energy is -453 meV/atom. For the density of states at the Fermi level, the calculation gives 0.487 states/eV/atom. The magnetization comes out at 0.00 μB per formula unit. The value obtained for the total energy is -21.31 eV/cell.

Material: LiFeRe4
Method: DFT, PBE
State: optimized geometry

The structure belongs to space group F-43m (No. 216); the cell edges are 7.295, 7.295 and 7.295 Å and the angles 90.00°, 90.00° and 90.00°. Symmetry generates all atoms from Li at (0.000, 0.000, 0.000), Fe at (0.250, 0.250, 0.250) and Re at (0.125, 0.125, 0.625).

The formation energy is 547 meV/atom. For the density of states at the Fermi level, the calculation gives 0.678 states/eV/atom. The magnetization comes out at 3.27 μB per formula unit. The value obtained for the total energy is -227.54 eV/cell.

Material: KHg2Br4
Method: DFT, PBE
State: optimized geometry

The structure belongs to space group P-42m (No. 111); the cell edges are 6.652, 6.652 and 7.213 Å and the angles 90.00°, 90.00° and 90.00°. Symmetry generates all atoms from K at (0.000, 0.000, 0.000), Hg at (0.000, 0.500, 0.500) and Br at (0.264, 0.264, 0.289).

For the density of states at the Fermi level, the calculation gives 0.415 states/eV/atom. For the offset from the most stable computed form, the calculation gives 0.118 eV/atom. The value obtained for the formation energy (no corrections) is -0.669 eV/atom. The magnetization comes out at 0.00 μB per formula unit. The value obtained for the total energy is -13.07 eV/cell.

Material: Tm4Hg2Rh
Method: DFT, PBE
State: optimized geometry

The structure belongs to space group Pbam (No. 55); the cell edges are 7.852, 12.438 and 3.950 Å and the angles 90.00°, 90.00° and 90.00°. Symmetry generates all atoms from Tm at (0.130, 0.197, 0.000), Tm at (0.224, 0.947, 0.500), Hg at (0.077, 0.668, 0.500) and Rh at (0.000, 0.000, 0.000).

The formation energy is -466 meV/atom. For the density of states at the Fermi level, the calculation gives 0.710 states/eV/atom. The magnetization comes out at 0.00 μB per formula unit. The value obtained for the total energy is -58.21 eV/cell.

Material: Fe2RuRh4
Method: DFT, PBE
State: optimized geometry

The structure belongs to space group P6_3/mmc (No. 194); the cell edges are 4.3038, 4.3038 and 12.5322 Å and the angles 90.00°, 90.00° and 120.00°. Symmetry generates all atoms from Fe at (0.3333, 0.6667, 0.0554), Ru at (0.0000, 0.0000, 0.2500), Rh at (0.0000, 0.0000, 0.0000), Rh at (0.3333, 0.6667, 0.2500) and Rh at (0.3333, 0.6667, 0.6393).

The formation energy is 237 meV/atom. For the density of states at the Fermi level, the calculation gives 1.588 states/eV/atom. The magnetization comes out at 10.28 μB per formula unit. The value obtained for the total energy is -107.90 eV/cell.

Material: SrMgZr2
Method: DFT, PBE
State: optimized geometry

The structure belongs to space group Pmmm (No. 47); the cell edges are 3.171, 5.012 and 6.715 Å and the angles 90.00°, 90.00° and 90.00°. Symmetry generates all atoms from Sr at (0.000, 0.000, 0.000), Mg at (0.000, 0.000, 0.500) and Zr at (0.500, 0.500, 0.273).

The formation energy is 470 meV/atom. For the density of states at the Fermi level, the calculation gives 1.545 states/eV/atom. The magnetization comes out at 0.00 μB per formula unit. The value obtained for the total energy is -18.49 eV/cell.

Material: PmZn3Ag3
Method: DFT, PBE
State: optimized geometry

The structure belongs to space group Fm-3m (No. 225); the cell edges are 12.089, 12.089 and 12.089 Å and the angles 90.00°, 90.00° and 90.00°. Symmetry generates all atoms from Pm at (0.250, 0.250, 0.250), Zn at (0.000, 0.000, 0.147) and Ag at (0.000, 0.000, 0.341).

The formation energy is 709 meV/atom. For the density of states at the Fermi level, the calculation gives 1.051 states/eV/atom. For the offset from the most stable computed form, the calculation gives 0.811 eV/atom. The magnetization comes out at 0.00 μB per formula unit. The value obtained for the total energy is -97.28 eV/cell.

Material: Sn5Te5Cl
Method: DFT, PBE
State: optimized geometry

The structure belongs to space group C2/m (No. 12); the cell edges are 14.055, 6.283 and 8.912 Å and the angles 90.00°, 109.22° and 90.00°. Symmetry generates all atoms from Sn at (0.000, 0.000, 0.000), Sn at (0.162, 0.500, 0.345), Sn at (0.180, 0.500, 0.829), Te at (0.000, 0.500, 0.500), Te at (0.164, 0.000, 0.831), Te at (0.166, 0.000, 0.336) and Cl at (0.000, 0.500, 0.000).

For the density of states at the Fermi level, the calculation gives 0.511 states/eV/atom. The value obtained for the formation energy (no corrections) is -0.287 eV/atom. The magnetization comes out at 0.00 μB per formula unit. The value obtained for the total energy is -81.45 eV/cell.

Material: Ac7NiIr4
Method: DFT, PBE
State: optimized geometry

The structure belongs to space group Cm (No. 8); the cell edges are 14.149, 4.240 and 12.849 Å and the angles 90.00°, 104.89° and 90.00°. Symmetry generates all atoms from Ac at (0.000, 0.000, 0.000), Ac at (0.023, 0.500, 0.284), Ac at (0.106, 0.500, 0.591), Ac at (0.220, 0.000, 0.857), Ac at (0.266, 0.500, 0.146), Ac at (0.302, 0.000, 0.427), Ac at (0.416, 0.500, 0.691), Ni at (0.147, 0.000, 0.216), Ir at (0.063, 0.500, 0.829), Ir at (0.261, 0.000, 0.641), Ir at (0.378, 0.000, 0.071) and Ir at (0.456, 0.500, 0.445).

The formation energy is -534 meV/atom. For the density of states at the Fermi level, the calculation gives 0.521 states/eV/atom. The magnetization comes out at 0.00 μB per formula unit. The value obtained for the total energy is -152.79 eV/cell.

Material: CdGaSe2
Method: DFT, PBE
State: optimized geometry

The structure belongs to space group I-42d (No. 122); the cell edges are 6.090, 6.090 and 12.687 Å and the angles 90.00°, 90.00° and 90.00°. Symmetry generates all atoms from Cd at (0.000, 0.000, 0.000), Ga at (0.000, 0.000, 0.500) and Se at (0.235, 0.250, 0.625).

For the density of states at the Fermi level, the calculation gives 0.363 states/eV/atom. The value obtained for the formation energy (no corrections) is -0.439 eV/atom. The magnetization comes out at 0.00 μB per formula unit. The value obtained for the total energy is -50.67 eV/cell.

Material: ZnSiOs
Method: DFT, PBE
State: optimized geometry

The structure belongs to space group Cmcm (No. 63); the cell edges are 4.271, 8.099 and 4.751 Å and the angles 90.00°, 90.00° and 90.00°. Symmetry generates all atoms from Zn at (0.000, 0.000, 0.000), Si at (0.000, 0.389, 0.250) and Os at (0.000, 0.283, 0.750).

For the density of states at the Fermi level, the calculation gives 0.357 states/eV/atom. The value obtained for the formation energy (no corrections) is 0.030 eV/atom. The magnetization comes out at 0.00 μB per formula unit. The value obtained for the total energy is -71.35 eV/cell.

What is the formula in the second record?
YZn2GaAu2

Repeat the fourth record exactly.
Material: KHg2Br4
Method: DFT, PBE
State: optimized geometry

The structure belongs to space group P-42m (No. 111); the cell edges are 6.652, 6.652 and 7.213 Å and the angles 90.00°, 90.00° and 90.00°. Symmetry generates all atoms from K at (0.000, 0.000, 0.000), Hg at (0.000, 0.500, 0.500) and Br at (0.264, 0.264, 0.289).

For the density of states at the Fermi level, the calculation gives 0.415 states/eV/atom. For the offset from the most stable computed form, the calculation gives 0.118 eV/atom. The value obtained for the formation energy (no corrections) is -0.669 eV/atom. The magnetization comes out at 0.00 μB per formula unit. The value obtained for the total energy is -13.07 eV/cell.

Among the records above, which one has the highest magnetization?
Fe2RuRh4